Record 1
First-principles (meta-GGA SCAN) data for YMnSe3 at its PBEsol-relaxed geometry, as listed in Alexandria via LeMat-Bulk.

Properties
The density of states at the Fermi level is 0.462 states/eV/f.u. Its total energy is -22.2218 eV/atom. For the energy relative to the elements, uncorrected, the calculation gives -0.955 eV/atom.

```
data_YMnSe3
_cell_length_a 4.7808
_cell_length_b 4.7808
_cell_length_c 4.7808
_cell_angle_alpha 90.00
_cell_angle_beta 90.00
_cell_angle_gamma 90.00
_symmetry_space_group_name_H-M 'P m -3 m'
_symmetry_Int_Tables_number 221
_symmetry_space_group_name_Hall '-P 4 2 3'
loop_
_atom_site_label
_atom_site_type_symbol
_atom_site_fract_x
_atom_site_fract_y
_atom_site_fract_z
Y1 Y 0.0000 0.0000 0.0000
Mn1 Mn 0.5000 0.5000 0.5000
Se1 Se 0.0000 0.5000 0.5000
```

Record 2
First-principles (meta-GGA SCAN) data for YMn4Se at its PBEsol-relaxed geometry, as listed in Alexandria via LeMat-Bulk.

Properties
The density of states at the Fermi level is 4.821 states/eV/f.u. Its total energy is -19.8705 eV/atom. For the energy relative to the elements, uncorrected, the calculation gives 0.287 eV/atom.

```
data_YMn4Se
_cell_length_a 6.9009
_cell_length_b 6.9009
_cell_length_c 6.9009
_cell_angle_alpha 90.00
_cell_angle_beta 90.00
_cell_angle_gamma 90.00
_symmetry_space_group_name_H-M 'F -4 3 m'
_symmetry_Int_Tables_number 216
_symmetry_space_group_name_Hall 'F -4 2 3'
loop_
_atom_site_label
_atom_site_type_symbol
_atom_site_fract_x
_atom_site_fract_y
_atom_site_fract_z
Y1 Y 0.0000 0.0000 0.0000
Mn1 Mn 0.1230 0.1230 0.6230
Se1 Se 0.2500 0.2500 0.2500
```

Record 3
First-principles (meta-GGA SCAN) data for MnZnSe2 at its PBEsol-relaxed geometry, as listed in Alexandria via LeMat-Bulk.

Properties
The density of states at the Fermi level is 0.650 states/eV/f.u. Its total energy is -18.3670 eV/atom. For the energy relative to the elements, uncorrected, the calculation gives -0.385 eV/atom.

```
data_MnZnSe2
_cell_length_a 3.4812
_cell_length_b 3.6381
_cell_length_c 6.7268
_cell_angle_alpha 90.00
_cell_angle_beta 90.00
_cell_angle_gamma 90.00
_symmetry_space_group_name_H-M 'P m m m'
_symmetry_Int_Tables_number 47
_symmetry_space_group_name_Hall '-P 2 2'
loop_
_atom_site_label
_atom_site_type_symbol
_atom_site_fract_x
_atom_site_fract_y
_atom_site_fract_z
Mn1 Mn 0.0000 0.0000 0.0000
Zn1 Zn 0.0000 0.5000 0.5000
Se1 Se 0.5000 0.0000 0.5000
Se2 Se 0.5000 0.5000 0.0000
```

Record 4
First-principles (meta-GGA SCAN) data for MnZnSe2 at its PBEsol-relaxed geometry, as listed in Alexandria via LeMat-Bulk.

Properties
The density of states at the Fermi level is 1.199 states/eV/f.u. Its total energy is -18.4205 eV/atom. For the energy relative to the elements, uncorrected, the calculation gives -0.439 eV/atom.

```
data_MnZnSe2
_cell_length_a 3.4483
_cell_length_b 3.5134
_cell_length_c 12.1009
_cell_angle_alpha 90.00
_cell_angle_beta 90.00
_cell_angle_gamma 90.00
_symmetry_space_group_name_H-M 'I m m 2'
_symmetry_Int_Tables_number 44
_symmetry_space_group_name_Hall 'I 2 -2'
loop_
_atom_site_label
_atom_site_type_symbol
_atom_site_fract_x
_atom_site_fract_y
_atom_site_fract_z
Mn1 Mn 0.0000 0.0000 0.0000
Zn1 Zn 0.0000 0.5000 0.7606
Se1 Se 0.0000 0.0000 0.5847
Se2 Se 0.0000 0.5000 0.3388
```

Record 5
First-principles (meta-GGA SCAN) data for MnZnSe2 at its PBEsol-relaxed geometry, as listed in Alexandria via LeMat-Bulk.

Properties
Its total energy is -18.8277 eV/atom. For the energy relative to the elements, uncorrected, the calculation gives -0.846 eV/atom.

```
data_MnZnSe2
_cell_length_a 4.0429
_cell_length_b 4.0429
_cell_length_c 6.6339
_cell_angle_alpha 90.00
_cell_angle_beta 90.00
_cell_angle_gamma 120.00
_symmetry_space_group_name_H-M 'P 3 m 1'
_symmetry_Int_Tables_number 156
_symmetry_space_group_name_Hall 'P 3 -2"'
loop_
_atom_site_label
_atom_site_type_symbol
_atom_site_fract_x
_atom_site_fract_y
_atom_site_fract_z
Mn1 Mn 0.0000 0.0000 0.0000
Zn1 Zn 0.6667 0.3333 0.4971
Se1 Se 0.0000 0.0000 0.3766
Se2 Se 0.6667 0.3333 0.8654
```

Record 6
First-principles (meta-GGA SCAN) data for MnZnSe2 at its PBEsol-relaxed geometry, as listed in Alexandria via LeMat-Bulk.

Properties
Its total energy is -18.8304 eV/atom. For the energy relative to the elements, uncorrected, the calculation gives -0.849 eV/atom.

```
data_MnZnSe2
_cell_length_a 4.0450
_cell_length_b 4.0450
_cell_length_c 19.8601
_cell_angle_alpha 90.00
_cell_angle_beta 90.00
_cell_angle_gamma 120.00
_symmetry_space_group_name_H-M 'R 3 m'
_symmetry_Int_Tables_number 160
_symmetry_space_group_name_Hall 'R 3 -2"'
loop_
_atom_site_label
_atom_site_type_symbol
_atom_site_fract_x
_atom_site_fract_y
_atom_site_fract_z
Mn1 Mn 0.0000 0.0000 0.0000
Zn1 Zn 0.0000 0.0000 0.5012
Se1 Se 0.0000 0.0000 0.3783
Se2 Se 0.0000 0.0000 0.8745
```

Record 7
First-principles (meta-GGA SCAN) data for ZrMn2Se at its PBEsol-relaxed geometry, as listed in Alexandria via LeMat-Bulk.

Properties
The density of states at the Fermi level is 1.602 states/eV/f.u. Its total energy is -22.2900 eV/atom. For the energy relative to the elements, uncorrected, the calculation gives -0.468 eV/atom.

```
data_ZrMn2Se
_cell_length_a 3.2588
_cell_length_b 3.2588
_cell_length_c 5.9440
_cell_angle_alpha 90.00
_cell_angle_beta 90.00
_cell_angle_gamma 90.00
_symmetry_space_group_name_H-M 'P 4 m m'
_symmetry_Int_Tables_number 99
_symmetry_space_group_name_Hall 'P 4 -2'
loop_
_atom_site_label
_atom_site_type_symbol
_atom_site_fract_x
_atom_site_fract_y
_atom_site_fract_z
Zr1 Zr 0.0000 0.0000 0.0000
Mn1 Mn 0.0000 0.0000 0.4876
Mn2 Mn 0.5000 0.5000 0.3164
Se1 Se 0.5000 0.5000 0.7446
```

Record 8
First-principles (meta-GGA SCAN) data for Zr2MnSe at its PBEsol-relaxed geometry, as listed in Alexandria via LeMat-Bulk.

Properties
The density of states at the Fermi level is 2.501 states/eV/f.u. Its total energy is -25.2904 eV/atom. For the energy relative to the elements, uncorrected, the calculation gives -0.358 eV/atom.

```
data_Zr2MnSe
_cell_length_a 3.7584
_cell_length_b 3.7584
_cell_length_c 9.7394
_cell_angle_alpha 90.00
_cell_angle_beta 90.00
_cell_angle_gamma 90.00
_symmetry_space_group_name_H-M 'I -4 m 2'
_symmetry_Int_Tables_number 119
_symmetry_space_group_name_Hall 'I -4 -2'
loop_
_atom_site_label
_atom_site_type_symbol
_atom_site_fract_x
_atom_site_fract_y
_atom_site_fract_z
Zr1 Zr 0.0000 0.0000 0.0000
Zr2 Zr 0.0000 0.5000 0.2500
Mn1 Mn 0.0000 0.0000 0.5000
Se1 Se 0.0000 0.5000 0.7500
```

Record 9
First-principles (meta-GGA SCAN) data for ZrMnSe at its PBEsol-relaxed geometry, as listed in Alexandria via LeMat-Bulk.

Properties
The density of states at the Fermi level is 1.556 states/eV/f.u. Its total energy is -23.5868 eV/atom. For the energy relative to the elements, uncorrected, the calculation gives -0.576 eV/atom.

```
data_ZrMnSe
_cell_length_a 3.3582
_cell_length_b 3.3582
_cell_length_c 9.0081
_cell_angle_alpha 90.00
_cell_angle_beta 90.00
_cell_angle_gamma 90.00
_symmetry_space_group_name_H-M 'I 4 m m'
_symmetry_Int_Tables_number 107
_symmetry_space_group_name_Hall 'I 4 -2'
loop_
_atom_site_label
_atom_site_type_symbol
_atom_site_fract_x
_atom_site_fract_y
_atom_site_fract_z
Zr1 Zr 0.0000 0.0000 0.0000
Mn1 Mn 0.0000 0.0000 0.3231
Se1 Se 0.0000 0.0000 0.6781
```

Record 10
First-principles (meta-GGA SCAN) data for ZrMnSe2 at its PBEsol-relaxed geometry, as listed in Alexandria via LeMat-Bulk.

Properties
The density of states at the Fermi level is 1.165 states/eV/f.u. Its total energy is -23.3163 eV/atom. For the energy relative to the elements, uncorrected, the calculation gives -1.039 eV/atom.

```
data_ZrMnSe2
_cell_length_a 3.5977
_cell_length_b 3.5977
_cell_length_c 20.4194
_cell_angle_alpha 90.00
_cell_angle_beta 90.00
_cell_angle_gamma 120.00
_symmetry_space_group_name_H-M 'R -3 m'
_symmetry_Int_Tables_number 166
_symmetry_space_group_name_Hall '-R 3 2"'
loop_
_atom_site_label
_atom_site_type_symbol
_atom_site_fract_x
_atom_site_fract_y
_atom_site_fract_z
Zr1 Zr 0.0000 0.0000 0.0000
Mn1 Mn 0.0000 0.0000 0.5000
Se1 Se 0.0000 0.0000 0.2454
```

Record 11
First-principles (meta-GGA SCAN) data for ZrMnSe2 at its PBEsol-relaxed geometry, as listed in Alexandria via LeMat-Bulk.

Properties
The density of states at the Fermi level is 1.631 states/eV/f.u. Its total energy is -23.1701 eV/atom. For the energy relative to the elements, uncorrected, the calculation gives -0.892 eV/atom.

```
data_ZrMnSe2
_cell_length_a 3.3146
_cell_length_b 3.3146
_cell_length_c 6.4709
_cell_angle_alpha 90.00
_cell_angle_beta 90.00
_cell_angle_gamma 90.00
_symmetry_space_group_name_H-M 'P 4/m m m'
_symmetry_Int_Tables_number 123
_symmetry_space_group_name_Hall '-P 4 2'
loop_
_atom_site_label
_atom_site_type_symbol
_atom_site_fract_x
_atom_site_fract_y
_atom_site_fract_z
Zr1 Zr 0.0000 0.0000 0.0000
Mn1 Mn 0.0000 0.0000 0.5000
Se1 Se 0.5000 0.5000 0.2450
```

Record 12
First-principles (meta-GGA SCAN) data for Zr2MnSe at its PBEsol-relaxed geometry, as listed in Alexandria via LeMat-Bulk.

Properties
The density of states at the Fermi level is 2.468 states/eV/f.u. Its total energy is -25.4484 eV/atom. For the energy relative to the elements, uncorrected, the calculation gives -0.516 eV/atom.

```
data_Zr2MnSe
_cell_length_a 3.5121
_cell_length_b 3.5121
_cell_length_c 5.9015
_cell_angle_alpha 90.00
_cell_angle_beta 90.00
_cell_angle_gamma 90.00
_symmetry_space_group_name_H-M 'P 4 m m'
_symmetry_Int_Tables_number 99
_symmetry_space_group_name_Hall 'P 4 -2'
loop_
_atom_site_label
_atom_site_type_symbol
_atom_site_fract_x
_atom_site_fract_y
_atom_site_fract_z
Zr1 Zr 0.0000 0.0000 0.0000
Zr2 Zr 0.5000 0.5000 0.3063
Mn1 Mn 0.5000 0.5000 0.7909
Se1 Se 0.0000 0.0000 0.5161
```